A geometry-optimized MnTeF3 structure. Source: Alexandria via LeMat-Bulk, functional PBE+U.

Its energy above the most stable polymorph in this dataset is 0 meV per atom.

It has space group Pm-3m (No. 221), with a = 4.292 Å, b = 4.292 Å, c = 4.292 Å, α = 90.00°, β = 90.00° and γ = 90.00°. Symmetry generates all atoms from Mn at (0.000, 0.000, 0.000), Te at (0.500, 0.500, 0.500) and F at (0.000, 0.000, 0.500).